Entry 1:
Material: CdAgRhPb
Method: DFT, PBE-GGA
State: optimized geometry

As for the energy relative to the elements: 64 meV/atom.

The structure belongs to space group F-43m (No. 216); the cell edges are 6.7846, 6.7846 and 6.7846 Å and the angles 90.00°, 90.00° and 90.00°. Symmetry generates all atoms from Cd at (0.0000, 0.0000, 0.0000), Ag at (0.2500, 0.2500, 0.7500), Rh at (0.2500, 0.2500, 0.2500) and Pb at (0.0000, 0.0000, 0.5000).


Entry 2:
Material: CdAg2RuPb
Method: DFT, PBE-GGA
State: optimized geometry

As for the energy relative to the elements: 1153 meV/atom.

The structure belongs to space group P4/mmm (No. 123); the cell edges are 5.2248, 5.2248 and 5.1819 Å and the angles 90.00°, 90.00° and 90.00°. Symmetry generates all atoms from Cd at (0.0000, 0.0000, 0.0000), Ag at (0.0000, 0.5000, 0.5000), Ru at (0.5000, 0.5000, 0.0000) and Pb at (0.5000, 0.5000, 0.5000).


Entry 3:
Material: CdAgSbPb
Method: DFT, PBE-GGA
State: optimized geometry

The energy relative to the elements, uncorrected comes out at 0.55 eV per formula unit.

The structure belongs to space group F-43m (No. 216); the cell edges are 7.3928, 7.3928 and 7.3928 Å and the angles 90.00°, 90.00° and 90.00°. Symmetry generates all atoms from Cd at (0.0000, 0.0000, 0.0000), Ag at (0.0000, 0.0000, 0.5000), Sb at (0.2500, 0.2500, 0.7500) and Pb at (0.2500, 0.2500, 0.2500).


| no. | V (Å³ per cell) | total energy (eV/cell) |
| --- | --- | --- |
| 1 | 312.3 | -58.28 |
| 2 | 141.5 | -13.84 |
| 3 | 404.0 | -44.17 |